[1]
Fe6OF11: relaxed, PBE with a Hubbard U.

Results
For the polymorph energy (0 for the lowest one), the calculation gives 228 meV/atom. The volume comes out at 222.92 Å³/cell.

abc: 5.7844 5.7844 7.5557
angles: 72.61 72.61 71.53
Last column: magnetic moment on the atom in μB.
Atoms (fractional coordinates):
Fe1 0.6707 0.6455 0.8419  -4.09
Fe2 0.3377 0.3289 0.6674  -0.01
Fe3 0.6711 0.6623 0.3326  -0.01
Fe4 0.3545 0.3293 0.1581  -4.09
Fe5 0.0002 0.9998 0.5000  -3.81
Fe6 0.9805 0.0195 0.0000  -3.81
O1 0.6833 0.3167 0.0000  -0.35
F1 0.6336 0.0172 0.6767  -0.04
F2 0.9828 0.3664 0.3233  -0.04
F3 0.8968 0.8911 0.3077  -0.04
F4 0.2335 0.2402 0.9592  -0.05
F5 0.5643 0.5670 0.6266  -0.03
F6 0.7598 0.7665 0.0408  -0.05
F7 0.4330 0.4357 0.3734  -0.03
F8 0.1089 0.1032 0.6923  -0.04
F9 0.3715 0.9749 0.3254  -0.05
F10 0.0251 0.6285 0.6746  -0.05
F11 0.2928 0.7072 0.0000  -0.07



[2]
Fe2OF3: relaxed, PBE with a Hubbard U.

Results
For the polymorph energy (0 for the lowest one), the calculation gives 142 meV/atom. The volume comes out at 141.34 Å³/cell.

abc: 4.7621 4.7621 6.2383
angles: 90.00 90.00 92.44
Last column: magnetic moment on the atom in μB.
Atoms (fractional coordinates):
Fe1 0.9679 0.9679 0.7500  3.73
Fe2 0.0321 0.0321 0.2500  3.73
Fe3 0.5000 0.5000 0.0000  3.24
Fe4 0.5000 0.5000 0.5000  3.24
O1 0.3302 0.3302 0.2500  -0.15
O2 0.6698 0.6698 0.7500  -0.15
F1 0.2079 0.7921 0.0000  0.04
F2 0.2079 0.7921 0.5000  0.04
F3 0.2836 0.2836 0.7500  0.03
F4 0.7164 0.7164 0.2500  0.03
F5 0.7921 0.2079 0.5000  0.04
F6 0.7921 0.2079 0.0000  0.04



[3]
Fe3O5F: relaxed, PBE with a Hubbard U.

Results
For the polymorph energy (0 for the lowest one), the calculation gives 1 meV/atom. The volume comes out at 194.58 Å³/cell.

abc: 5.5190 5.5190 7.3931
angles: 70.73 70.73 70.92
Last column: magnetic moment on the atom in μB.
Atoms (fractional coordinates):
Fe1 0.5000 0.5000 0.0000  4.17
Fe2 0.8306 0.8306 0.1554  4.15
Fe3 0.5000 0.5000 0.5000  4.19
Fe4 0.8441 0.8441 0.6822  4.13
Fe5 0.1559 0.1559 0.3178  4.13
Fe6 0.1694 0.1694 0.8446  4.15
O1 0.5208 0.1361 0.1634  0.02
O2 0.1950 0.8050 0.5000  0.04
O3 0.9472 0.9472 0.8664  0.12
O4 0.6009 0.6009 0.2135  0.06
O5 0.3991 0.3991 0.7865  0.06
O6 0.0528 0.0528 0.1336  0.12
O7 0.8050 0.1950 0.5000  0.04
O8 0.1361 0.5208 0.1634  0.02
O9 0.4792 0.8639 0.8366  0.02
O10 0.8639 0.4792 0.8366  0.02
F1 0.2641 0.2641 0.5327  0.13
F2 0.7359 0.7359 0.4673  0.13



[4]
FeOF: relaxed, PBE with a Hubbard U.

Results
The value obtained for the energy is -6.0224 eV per atom. The volume comes out at 207.80 Å³/cell.

abc: 3.0986 6.6889 10.5607
angles: 71.69 90.00 90.00
Last column: magnetic moment on the atom in μB.
Atoms (fractional coordinates):
Fe1 0.0000 0.9684 0.0111  4.41
Fe2 0.0000 0.3530 0.3438  4.41
Fe3 0.0000 0.6842 0.6784  4.41
Fe4 0.5000 0.8293 0.3179  4.41
Fe5 0.5000 0.1607 0.6522  4.41
Fe6 0.5000 0.5158 0.9851  4.41
O1 0.5000 0.5325 0.3299  0.36
O2 0.5000 0.8614 0.6712  0.36
O3 0.0000 0.9117 0.2038  0.37
O4 0.0000 0.2338 0.5374  0.36
O5 0.0000 0.5482 0.8707  0.37
O6 0.5000 0.7989 0.0009  0.36
F1 0.5000 0.1906 0.0000  0.11
F2 0.0000 0.7698 0.4655  0.11
F3 0.0000 0.1124 0.7990  0.11
F4 0.0000 0.4183 0.1323  0.11
F5 0.5000 0.1372 0.3375  0.11
F6 0.5000 0.4738 0.6632  0.11



Among the records above, which one has the highest volume? Fe6OF11



volume of number 2 (Fe2OF3)? 141.34 Å³/cell



Which value of volume does entry 3 give? 194.58 Å³/cell



Copy entry 4 word for word.
FeOF: relaxed, PBE with a Hubbard U.

Results
The value obtained for the energy is -6.0224 eV per atom. The volume comes out at 207.80 Å³/cell.

abc: 3.0986 6.6889 10.5607
angles: 71.69 90.00 90.00
Last column: magnetic moment on the atom in μB.
Atoms (fractional coordinates):
Fe1 0.0000 0.9684 0.0111  4.41
Fe2 0.0000 0.3530 0.3438  4.41
Fe3 0.0000 0.6842 0.6784  4.41
Fe4 0.5000 0.8293 0.3179  4.41
Fe5 0.5000 0.1607 0.6522  4.41
Fe6 0.5000 0.5158 0.9851  4.41
O1 0.5000 0.5325 0.3299  0.36
O2 0.5000 0.8614 0.6712  0.36
O3 0.0000 0.9117 0.2038  0.37
O4 0.0000 0.2338 0.5374  0.36
O5 0.0000 0.5482 0.8707  0.37
O6 0.5000 0.7989 0.0009  0.36
F1 0.5000 0.1906 0.0000  0.11
F2 0.0000 0.7698 0.4655  0.11
F3 0.0000 0.1124 0.7990  0.11
F4 0.0000 0.4183 0.1323  0.11
F5 0.5000 0.1372 0.3375  0.11
F6 0.5000 0.4738 0.6632  0.11